Entry P
Crystalline Tb3PrHo7 at its relaxed geometry. Source: Alexandria via LeMat-Bulk, functional PBE-GGA.

The structure in CIF format:
```
data_Tb3PrHo7
_symmetry_space_group_name_H-M 'P 1 2/m 1'
_symmetry_Int_Tables_number 10
_symmetry_space_group_name_Hall '-P 2y'
_cell_length_a 6.9361
_cell_length_b 5.5295
_cell_length_c 9.8948
_cell_angle_alpha 90.00
_cell_angle_beta 109.55
_cell_angle_gamma 90.00
loop_
_atom_site_label
_atom_site_type_symbol
_atom_site_fract_x
_atom_site_fract_y
_atom_site_fract_z
_atom_site_occupancy
Tb1 Tb 0.0000 0.0000 0.0000 1
Tb2 Tb 0.2219 0.5000 0.5039 1
Pr1 Pr 0.5000 0.0000 0.0000 1
Ho1 Ho 0.0749 0.0000 0.6686 1
Ho2 Ho 0.1761 0.5000 0.8577 1
Ho3 Ho 0.3516 0.5000 0.2107 1
Ho4 Ho 0.5000 0.0000 0.5000 1
```

Values from the calculation:
Calculated density, g/cm³: 8.23
M_tot, μB per cell: 0.000


Entry Q
Crystalline Tb3PrHo7 at its relaxed geometry. Source: Alexandria via LeMat-Bulk, functional PBE-GGA.

The structure in CIF format:
```
data_Tb3PrHo7
_symmetry_space_group_name_H-M 'P 3 m 1'
_symmetry_Int_Tables_number 156
_symmetry_space_group_name_Hall 'P 3 -2"'
_cell_length_a 7.0422
_cell_length_b 7.0422
_cell_length_c 8.6089
_cell_angle_alpha 90.00
_cell_angle_beta 90.00
_cell_angle_gamma 120.00
loop_
_atom_site_label
_atom_site_type_symbol
_atom_site_fract_x
_atom_site_fract_y
_atom_site_fract_z
_atom_site_occupancy
Tb1 Tb 0.1673 0.3346 0.0000 1
Pr1 Pr 0.0000 0.0000 0.6615 1
Ho1 Ho 0.0024 0.5012 0.6627 1
Ho2 Ho 0.3318 0.1659 0.3320 1
Ho3 Ho 0.3333 0.6667 0.3347 1
```

Values from the calculation:
Calculated density, g/cm³: 7.96
M_tot, μB per cell: 0.000


The calculated energies rank the structures as follows, beginning with the most stable: entry P, entry Q.


Entry P
Crystalline TbPrHo4 at its relaxed geometry. Source: Alexandria via LeMat-Bulk, functional PBE-GGA.

The structure in CIF format:
```
data_TbPrHo4
_symmetry_space_group_name_H-M 'C 1 2/c 1'
_symmetry_Int_Tables_number 15
_symmetry_space_group_name_Hall '-C 2yc'
_cell_length_a 10.7250
_cell_length_b 6.1949
_cell_length_c 12.0768
_cell_angle_alpha 90.00
_cell_angle_beta 107.15
_cell_angle_gamma 90.00
loop_
_atom_site_label
_atom_site_type_symbol
_atom_site_fract_x
_atom_site_fract_y
_atom_site_fract_z
_atom_site_occupancy
Tb1 Tb 0.2500 0.2500 0.0000 1
Pr1 Pr 0.0000 0.0812 0.7500 1
Ho1 Ho 0.0840 0.2522 0.5001 1
Ho2 Ho 0.1666 0.4172 0.2499 1
```

Values from the calculation:
Calculated density, g/cm³: 8.31
M_tot, μB per cell: 0.000


Entry Q
Crystalline TbPrHo4 at its relaxed geometry. Source: Alexandria via LeMat-Bulk, functional PBE-GGA.

The structure in CIF format:
```
data_TbPrHo4
_symmetry_space_group_name_H-M 'F -4 3 m'
_symmetry_Int_Tables_number 216
_symmetry_space_group_name_Hall 'F -4 2 3'
_cell_length_a 9.3260
_cell_length_b 9.3260
_cell_length_c 9.3260
_cell_angle_alpha 90.00
_cell_angle_beta 90.00
_cell_angle_gamma 90.00
loop_
_atom_site_label
_atom_site_type_symbol
_atom_site_fract_x
_atom_site_fract_y
_atom_site_fract_z
_atom_site_occupancy
Tb1 Tb 0.0000 0.0000 0.0000 1
Pr1 Pr 0.2500 0.2500 0.7500 1
Ho1 Ho 0.1255 0.1255 0.3745 1
```

Values from the calculation:
Calculated density, g/cm³: 7.86
M_tot, μB per cell: 5.421


The calculated energies rank the structures as follows, beginning with the most stable: entry P, entry Q.


Entry P
Crystalline TbPr5Ho2 at its relaxed geometry. Source: Alexandria via LeMat-Bulk, functional PBE-GGA.

The structure in CIF format:
```
data_TbPr5Ho2
_symmetry_space_group_name_H-M 'I 4/m c m'
_symmetry_Int_Tables_number 140
_symmetry_space_group_name_Hall '-I 4 2c'
_cell_length_a 9.3096
_cell_length_b 9.3096
_cell_length_c 12.8080
_cell_angle_alpha 90.00
_cell_angle_beta 90.00
_cell_angle_gamma 90.00
loop_
_atom_site_label
_atom_site_type_symbol
_atom_site_fract_x
_atom_site_fract_y
_atom_site_fract_z
_atom_site_occupancy
Tb1 Tb 0.0000 0.0000 0.2500 1
Pr1 Pr 0.0000 0.0000 0.0000 1
Pr2 Pr 0.1498 0.3502 0.1636 1
Ho1 Ho 0.1460 0.3540 0.5000 1
```

Values from the calculation:
Calculated density, g/cm³: 7.14
M_tot, μB per cell: 1.572


Entry Q
Crystalline TbPr5Ho2 at its relaxed geometry. Source: Alexandria via LeMat-Bulk, functional PBE-GGA.

The structure in CIF format:
```
data_TbPr5Ho2
_symmetry_space_group_name_H-M 'C 1 2/c 1'
_symmetry_Int_Tables_number 15
_symmetry_space_group_name_Hall '-C 2yc'
_cell_length_a 6.4931
_cell_length_b 26.2845
_cell_length_c 6.5831
_cell_angle_alpha 90.00
_cell_angle_beta 97.06
_cell_angle_gamma 90.00
loop_
_atom_site_label
_atom_site_type_symbol
_atom_site_fract_x
_atom_site_fract_y
_atom_site_fract_z
_atom_site_occupancy
Tb1 Tb 0.0000 0.0443 0.2500 1
Pr1 Pr 0.0000 0.3738 0.7500 1
Pr2 Pr 0.1924 0.1854 0.5045 1
Pr3 Pr 0.2421 0.0966 0.8157 1
Ho1 Ho 0.0000 0.5000 0.0000 1
Ho2 Ho 0.2500 0.2500 0.0000 1
```

Values from the calculation:
Calculated density, g/cm³: 7.11
M_tot, μB per cell: 0.000


The calculated energies rank the structures as follows, beginning with the most stable: entry P, entry Q.


Entry P
Crystalline TbPrHoTh at its relaxed geometry. Source: Alexandria via LeMat-Bulk, functional PBE-GGA.

The structure in CIF format:
```
data_TbPrHoTh
_symmetry_space_group_name_H-M 'F -4 3 m'
_symmetry_Int_Tables_number 216
_symmetry_space_group_name_Hall 'F -4 2 3'
_cell_length_a 8.0791
_cell_length_b 8.0791
_cell_length_c 8.0791
_cell_angle_alpha 90.00
_cell_angle_beta 90.00
_cell_angle_gamma 90.00
loop_
_atom_site_label
_atom_site_type_symbol
_atom_site_fract_x
_atom_site_fract_y
_atom_site_fract_z
_atom_site_occupancy
Tb1 Tb 0.0000 0.0000 0.0000 1
Pr1 Pr 0.2500 0.2500 0.7500 1
Ho1 Ho 0.0000 0.0000 0.5000 1
Th1 Th 0.2500 0.2500 0.2500 1
```

Values from the calculation:
Calculated density, g/cm³: 8.78
M_tot, μB per cell: 0.001


Entry Q
Crystalline TbPrHoTh at its relaxed geometry. Source: Alexandria via LeMat-Bulk, functional PBE-GGA.

The structure in CIF format:
```
data_TbPrHoTh
_symmetry_space_group_name_H-M 'R 3 m'
_symmetry_Int_Tables_number 160
_symmetry_space_group_name_Hall 'R 3 -2"'
_cell_length_a 3.6066
_cell_length_b 3.6066
_cell_length_c 34.8826
_cell_angle_alpha 90.00
_cell_angle_beta 90.00
_cell_angle_gamma 120.00
loop_
_atom_site_label
_atom_site_type_symbol
_atom_site_fract_x
_atom_site_fract_y
_atom_site_fract_z
_atom_site_occupancy
Tb1 Tb 0.0000 0.0000 0.0000 1
Pr1 Pr 0.0000 0.0000 0.2468 1
Ho1 Ho 0.0000 0.0000 0.8272 1
Th1 Th 0.0000 0.0000 0.4137 1
```

Values from the calculation:
Calculated density, g/cm³: 8.83
M_tot, μB per cell: 0.001


The calculated energies rank the structures as follows, beginning with the most stable: entry Q, entry P.


Entry P
Crystalline TbPrHoTl at its relaxed geometry. Source: Alexandria via LeMat-Bulk, functional PBE-GGA.

The structure in CIF format:
```
data_TbPrHoTl
_symmetry_space_group_name_H-M 'F -4 3 m'
_symmetry_Int_Tables_number 216
_symmetry_space_group_name_Hall 'F -4 2 3'
_cell_length_a 7.8428
_cell_length_b 7.8428
_cell_length_c 7.8428
_cell_angle_alpha 90.00
_cell_angle_beta 90.00
_cell_angle_gamma 90.00
loop_
_atom_site_label
_atom_site_type_symbol
_atom_site_fract_x
_atom_site_fract_y
_atom_site_fract_z
_atom_site_occupancy
Tb1 Tb 0.0000 0.0000 0.0000 1
Pr1 Pr 0.0000 0.0000 0.5000 1
Ho1 Ho 0.2500 0.2500 0.7500 1
Tl1 Tl 0.2500 0.2500 0.2500 1
```

Values from the calculation:
Calculated density, g/cm³: 9.21
M_tot, μB per cell: 5.022


Entry Q
Crystalline TbPrHoTl at its relaxed geometry. Source: Alexandria via LeMat-Bulk, functional PBE-GGA.

The structure in CIF format:
```
data_TbPrHoTl
_symmetry_space_group_name_H-M 'P m m m'
_symmetry_Int_Tables_number 47
_symmetry_space_group_name_Hall '-P 2 2'
_cell_length_a 4.8522
_cell_length_b 4.9201
_cell_length_c 4.9654
_cell_angle_alpha 90.00
_cell_angle_beta 90.00
_cell_angle_gamma 90.00
loop_
_atom_site_label
_atom_site_type_symbol
_atom_site_fract_x
_atom_site_fract_y
_atom_site_fract_z
_atom_site_occupancy
Tb1 Tb 0.0000 0.0000 0.0000 1
Pr1 Pr 0.5000 0.5000 0.0000 1
Ho1 Ho 0.0000 0.5000 0.5000 1
Tl1 Tl 0.5000 0.0000 0.5000 1
```

Values from the calculation:
Calculated density, g/cm³: 9.37
M_tot, μB per cell: 0.013


The calculated energies rank the structures as follows, beginning with the most stable: entry Q, entry P.


Entry P
Crystalline TbPrHoZn at its relaxed geometry. Source: Alexandria via LeMat-Bulk, functional PBE-GGA.

The structure in CIF format:
```
data_TbPrHoZn
_symmetry_space_group_name_H-M 'F -4 3 m'
_symmetry_Int_Tables_number 216
_symmetry_space_group_name_Hall 'F -4 2 3'
_cell_length_a 7.6472
_cell_length_b 7.6472
_cell_length_c 7.6472
_cell_angle_alpha 90.00
_cell_angle_beta 90.00
_cell_angle_gamma 90.00
loop_
_atom_site_label
_atom_site_type_symbol
_atom_site_fract_x
_atom_site_fract_y
_atom_site_fract_z
_atom_site_occupancy
Tb1 Tb 0.0000 0.0000 0.0000 1
Pr1 Pr 0.0000 0.0000 0.5000 1
Ho1 Ho 0.2500 0.2500 0.7500 1
Zn1 Zn 0.2500 0.2500 0.2500 1
```

Values from the calculation:
Calculated density, g/cm³: 7.87
M_tot, μB per cell: 0.002


Entry Q
Crystalline TbPrHoZn at its relaxed geometry. Source: Alexandria via LeMat-Bulk, functional PBE-GGA.

The structure in CIF format:
```
data_TbPrHoZn
_symmetry_space_group_name_H-M 'P 4 m m'
_symmetry_Int_Tables_number 99
_symmetry_space_group_name_Hall 'P 4 -2'
_cell_length_a 3.5978
_cell_length_b 3.5978
_cell_length_c 8.7466
_cell_angle_alpha 90.00
_cell_angle_beta 90.00
_cell_angle_gamma 90.00
loop_
_atom_site_label
_atom_site_type_symbol
_atom_site_fract_x
_atom_site_fract_y
_atom_site_fract_z
_atom_site_occupancy
Tb1 Tb 0.0000 0.0000 0.0000 1
Pr1 Pr 0.5000 0.5000 0.3004 1
Ho1 Ho 0.0000 0.0000 0.5977 1
Zn1 Zn 0.5000 0.5000 0.7953 1
```

Values from the calculation:
Calculated density, g/cm³: 7.78
M_tot, μB per cell: 0.000


The calculated energies rank the structures as follows, beginning with the most stable: entry Q, entry P.